Entry 1:
# Li2TlAg | OQMD via LeMat-Bulk | PBE | optimized geometry
data_Li2TlAg
_chemical_formula_sum 'Li4 Tl2 Ag2'
_symmetry_space_group_name_H-M 'P 63/m m c'
_symmetry_Int_Tables_number 194
_symmetry_space_group_name_Hall '-P 6c 2c'
_cell_length_a 4.6578
_cell_length_b 4.6578
_cell_length_c 7.8774
_cell_angle_alpha 90.00
_cell_angle_beta 90.00
_cell_angle_gamma 120.00
loop_
_atom_site_label
_atom_site_fract_x
_atom_site_fract_y
_atom_site_fract_z
Li1 0.3333 0.6667 0.0895
Tl1 0.0000 0.0000 0.0000
Ag1 0.3333 0.6667 0.7500
# final energy: -2.37 eV per atom


Entry 2:
# Li2TlAg | OQMD via LeMat-Bulk | PBE | optimized geometry
data_Li2TlAg
_chemical_formula_sum 'Li2 Tl1 Ag1'
_symmetry_space_group_name_H-M 'P 4/m m m'
_symmetry_Int_Tables_number 123
_symmetry_space_group_name_Hall '-P 4 2'
_cell_length_a 3.3399
_cell_length_b 3.3399
_cell_length_c 6.4305
_cell_angle_alpha 90.00
_cell_angle_beta 90.00
_cell_angle_gamma 90.00
loop_
_atom_site_label
_atom_site_fract_x
_atom_site_fract_y
_atom_site_fract_z
Li1 0.0000 0.0000 0.2274
Tl1 0.5000 0.5000 0.5000
Ag1 0.5000 0.5000 0.0000
# final energy: -2.48 eV per atom


Entry 3:
# LiTlAg2 | OQMD via LeMat-Bulk | PBE | optimized geometry
data_LiTlAg2
_chemical_formula_sum 'Li4 Tl4 Ag8'
_symmetry_space_group_name_H-M 'F -4 3 m'
_symmetry_Int_Tables_number 216
_symmetry_space_group_name_Hall 'F -4 2 3'
_cell_length_a 6.7376
_cell_length_b 6.7376
_cell_length_c 6.7376
_cell_angle_alpha 90.00
_cell_angle_beta 90.00
_cell_angle_gamma 90.00
loop_
_atom_site_label
_atom_site_fract_x
_atom_site_fract_y
_atom_site_fract_z
Li1 0.0000 0.0000 0.0000
Tl1 0.2500 0.2500 0.7500
Ag1 0.0000 0.0000 0.5000
Ag2 0.2500 0.2500 0.2500
# final energy: -2.59 eV per atom